No. 1
A relaxed TiGeP2O crystal. Source: Alexandria via LeMat-Bulk, functional GGA-PBE.

It has space group P4/mmm (No. 123), with a = 4.7763 Å, b = 4.7763 Å, c = 3.5855 Å, α = 90.00°, β = 90.00° and γ = 90.00°. The inequivalent atoms are Ti at (0.0000, 0.0000, 0.0000), Ge at (0.5000, 0.5000, 0.5000), P at (0.0000, 0.5000, 0.5000) and O at (0.5000, 0.5000, 0.0000).

Its energy above the most stable polymorph in this dataset is 2.727 eV/f.u. As for the crystal system: tetragonal. For the formation energy without anion corrections, the calculation gives 0.12 eV per atom.

No. 2
A relaxed CsPH crystal. Source: Alexandria via LeMat-Bulk, functional GGA-PBE.

It has space group Pmm2 (No. 25), with a = 3.4806 Å, b = 5.1406 Å, c = 4.3495 Å, α = 90.00°, β = 90.00° and γ = 90.00°. The inequivalent atoms are Cs at (0.0000, 0.0000, 0.0000), P at (0.5000, 0.5000, 0.5178) and H at (0.5000, 0.5000, 0.1856).

Its energy above the most stable polymorph in this dataset is 0.951 eV/f.u. As for the crystal system: orthorhombic.

No. 3
A relaxed Tb3Tm5Bi8 crystal. Source: Alexandria via LeMat-Bulk, functional GGA-PBE.

It has space group R-3m (No. 166, hexagonal axes), with a = 8.9098 Å, b = 8.9098 Å, c = 21.8180 Å, α = 90.00°, β = 90.00° and γ = 120.00°. The inequivalent atoms are Tb at (0.0000, 0.5000, 0.0000), Tm at (0.0000, 0.0000, 0.0000), Tm at (0.0000, 0.0000, 0.5000), Tm at (0.0000, 0.5000, 0.5000), Bi at (0.0000, 0.0000, 0.2485) and Bi at (0.0019, 0.5010, 0.7510).

As for the crystal system: trigonal. As for the formation energy: -817 meV/atom.

No. 4
A relaxed Hf5Co2Ni crystal. Source: Alexandria via LeMat-Bulk, functional GGA-PBE.

It has space group I4/mcm (No. 140), with a = 6.4279 Å, b = 6.4279 Å, c = 13.6926 Å, α = 90.00°, β = 90.00° and γ = 90.00°. The inequivalent atoms are Hf at (0.0000, 0.0000, 0.0000), Hf at (0.1708, 0.3292, 0.1500), Co at (0.1322, 0.3678, 0.5000) and Ni at (0.0000, 0.0000, 0.2500).

As for the crystal system: tetragonal. As for the formation energy: -298 meV/atom.

No. 5
A relaxed Tb6Nd2Ho3Zr crystal. Source: Alexandria via LeMat-Bulk, functional GGA-PBE.

It has space group C2/m (No. 12), with a = 6.1292 Å, b = 10.6000 Å, c = 11.7157 Å, α = 90.00°, β = 99.96° and γ = 90.00°. The inequivalent atoms are Tb at (0.2436, 0.0000, 0.2522), Tb at (0.2459, 0.1631, 0.7482), Nd at (0.0000, 0.3333, 0.5000), Ho at (0.0000, 0.1663, 0.0000), Ho at (0.0000, 0.5000, 0.0000) and Zr at (0.0000, 0.0000, 0.5000).

As for the crystal system: monoclinic. As for the formation energy: 53 meV/atom.